1.
A relaxed structure of Ac2PuGe, computed with PBE. Values from VASP.

Computed properties:
energy of formation	0.044	eV/atom
D(E_F)	4.457	states/eV per atom

```
&SYSTEM
  ibrav = 0, nat = 4, ntyp = 3
/
ATOMIC_SPECIES
Ac 227.00 Ac.upf
Ge 72.64 Ge.upf
Pu 244.00 Pu.upf
ATOMIC_POSITIONS crystal
Ac 0.2500 0.2500 0.2500
Ac 0.7500 0.7500 0.7500
Ge 0.0000 0.0000 0.0000
Pu 0.5000 0.5000 0.5000
CELL_PARAMETERS angstrom
-5.1961 1.0998 -1.9586
-2.8115 -3.9407 -2.9347
-4.4922 -2.5695 2.2942
```

=====

2.
A relaxed structure of Y2Ga4HgPt3, computed with PBE. Values from VASP.

Computed properties:
energy of formation	-0.784	eV/atom
D(E_F)	0.449	states/eV per atom

```
&SYSTEM
  ibrav = 0, nat = 10, ntyp = 4
/
ATOMIC_SPECIES
Ga 69.72 Ga.upf
Pt 195.08 Pt.upf
Y 88.91 Y.upf
Hg 200.59 Hg.upf
ATOMIC_POSITIONS crystal
Ga 0.5000 0.0000 0.6437
Ga 0.0000 0.0000 0.0000
Ga 0.5000 0.5000 0.0000
Ga 0.0000 0.5000 0.3563
Pt 0.5000 0.0000 0.8697
Pt 0.0000 0.5000 0.1303
Pt 0.0000 0.0000 0.5000
Y 0.0000 0.5000 0.7656
Y 0.5000 0.0000 0.2344
Hg 0.5000 0.5000 0.5000
CELL_PARAMETERS angstrom
-3.9546 -0.2497 1.5809
-0.4365 -3.8860 -1.7057
3.8765 -4.3875 9.0039
```

=====

3.
A relaxed structure of Tb3Dy2ScS6, computed with PBE. Values from VASP.

Computed properties:
formation energy without anion corrections	-1972	meV per atom
D(E_F)	0.448	states/eV per atom

```
&SYSTEM
  ibrav = 0, nat = 12, ntyp = 4
/
ATOMIC_SPECIES
S 32.06 S.upf
Sc 44.96 Sc.upf
Tb 158.93 Tb.upf
Dy 162.50 Dy.upf
ATOMIC_POSITIONS crystal
S 0.6614 0.0820 0.3229
S 0.3329 0.4178 0.6658
S 0.6671 0.5822 0.3342
S 0.9993 0.2380 0.9987
S 0.3386 0.9180 0.6771
S 0.0007 0.7620 0.0013
Sc 0.5000 0.0000 0.0000
Tb 0.8317 0.1654 0.6635
Tb 0.1683 0.8346 0.3365
Tb 0.5000 0.5000 0.0000
Dy 0.8340 0.6676 0.6681
Dy 0.1660 0.3324 0.3319
CELL_PARAMETERS angstrom
-1.5215 -3.1794 1.6107
-1.7585 -2.7473 -7.0839
8.5365 -1.4180 0.6026
```

=====

4.
A relaxed structure of CaHo4Tm, computed with PBE. Values from VASP.

Computed properties:
energy of formation	0.223	eV/atom
D(E_F)	1.445	states/eV per atom

```
&SYSTEM
  ibrav = 0, nat = 6, ntyp = 3
/
ATOMIC_SPECIES
Ho 164.93 Ho.upf
Tm 168.93 Tm.upf
Ca 40.08 Ca.upf
ATOMIC_POSITIONS crystal
Ho 0.6266 0.6266 0.1203
Ho 0.6266 0.6266 0.6266
Ho 0.1203 0.6266 0.6266
Ho 0.6266 0.1203 0.6266
Tm 0.0000 0.0000 0.0000
Ca 0.2500 0.2500 0.2500
CELL_PARAMETERS angstrom
-1.0907 6.1143 -2.2104
-4.0466 4.0249 3.2994
2.4450 5.1736 3.2736
```